[1]
## KMgHg2 (GGA-PBE)

Data for a relaxed structure of KMgHg2.

Results
* magnetization: 0.00 Bohr magnetons per cell
* final energy: -0.9176 eV/atom
* formation enthalpy at 0 K: -0.0936 eV/atom
* crystal system: tetragonal

Cell: 5.6428 5.6428 3.5743 Å, 90.00 90.00 90.00°
With the nearest neighbours (Å) after each atom.
Space group P4/mmm (No. 123)
Unique sites:
K 0.0000 0.0000 0.0000 x1  8 Hg 3.34, 2 K 3.57
Mg 0.5000 0.5000 0.0000 x1  8 Hg 3.34, 2 Mg 3.57
Hg 0.0000 0.5000 0.5000 x2  4 K 3.34, 4 Mg 3.34, 2 Hg 3.57


[2]
## KMgHg2 (GGA-PBE)

Data for a relaxed structure of KMgHg2.

Results
* magnetization: 0.00 Bohr magnetons per cell
* final energy: -0.9600 eV/atom
* formation enthalpy at 0 K: -0.1361 eV/atom
* crystal system: monoclinic

Cell: 8.9617 3.6215 7.7114 Å, 90.00 100.43 90.00°
With the nearest neighbours (Å) after each atom.
Space group C2/m (No. 12)
Unique sites:
K 0.0000 0.0000 0.0000 x2  6 Hg 3.50-3.57, 2 K 3.62
Mg 0.0000 0.5000 0.5000 x2  6 Hg 2.94-2.98
Hg 0.2347 0.0000 0.6838 x4  3 Mg 2.94-2.98